No. 1
A plane-wave DFT calculation with PBE-GGA was carried out for a relaxed PmScOsRh crystal. Values from VASP.

Quantum ESPRESSO input file:
```
&SYSTEM
  ibrav = 0, nat = 4, ntyp = 4
/
ATOMIC_SPECIES
Pm 145.00 Pm.upf
Sc 44.96 Sc.upf
Os 190.23 Os.upf
Rh 102.91 Rh.upf
CELL_PARAMETERS angstrom
0.000 3.369 3.369
3.369 0.000 3.369
3.369 3.369 0.000
ATOMIC_POSITIONS crystal
Pm 0.000 0.000 0.000
Sc 0.500 0.500 0.500
Os 0.250 0.250 0.250
Rh 0.750 0.750 0.750
```

Output
The space group is F-43m, No. 216. The formation energy is -0.40 eV per atom.



No. 2
A plane-wave DFT calculation with PBE-GGA was carried out for a relaxed Be7Rh6 crystal. Values from VASP.

Quantum ESPRESSO input file:
```
&SYSTEM
  ibrav = 0, nat = 13, ntyp = 2
/
ATOMIC_SPECIES
Be 9.01 Be.upf
Rh 102.91 Rh.upf
CELL_PARAMETERS angstrom
2.240 1.293 8.101
-2.240 1.293 8.101
0.000 -2.586 8.101
ATOMIC_POSITIONS crystal
Be 0.000 0.000 0.000
Be 0.090 0.090 0.586
Be 0.090 0.586 0.090
Be 0.414 0.910 0.910
Be 0.586 0.090 0.090
Be 0.910 0.414 0.910
Be 0.910 0.910 0.414
Rh 0.165 0.165 0.165
Rh 0.341 0.341 0.341
Rh 0.448 0.448 0.448
Rh 0.552 0.552 0.552
Rh 0.659 0.659 0.659
Rh 0.835 0.835 0.835
```

Output
The space group is R-3m, No. 166. The formation energy is -0.33 eV per atom.



No. 3
A plane-wave DFT calculation with PBE-GGA was carried out for a relaxed Pr2LuTi crystal. Values from VASP.

Quantum ESPRESSO input file:
```
&SYSTEM
  ibrav = 0, nat = 4, ntyp = 3
/
ATOMIC_SPECIES
Pr 140.91 Pr.upf
Lu 174.97 Lu.upf
Ti 47.87 Ti.upf
CELL_PARAMETERS angstrom
1.742 1.006 10.991
-1.742 1.006 10.991
0.000 -2.012 10.991
ATOMIC_POSITIONS crystal
Pr 0.243 0.243 0.243
Pr 0.757 0.757 0.757
Lu 0.000 0.000 0.000
Ti 0.500 0.500 0.500
```

Output
The space group is R-3m, No. 166. The formation energy is 0.26 eV per atom.



No. 4
A plane-wave DFT calculation with PBE-GGA was carried out for a relaxed ZrPtCl2 crystal. Values from VASP.

Quantum ESPRESSO input file:
```
&SYSTEM
  ibrav = 0, nat = 4, ntyp = 3
/
ATOMIC_SPECIES
Zr 91.22 Zr.upf
Pt 195.08 Pt.upf
Cl 35.45 Cl.upf
CELL_PARAMETERS angstrom
3.414 0.000 0.000
0.000 3.414 0.000
0.000 0.000 8.048
ATOMIC_POSITIONS crystal
Zr 0.000 0.000 0.000
Pt 0.500 0.500 0.839
Cl 0.000 0.000 0.660
Cl 0.500 0.500 0.231
```

Output
The space group is P4mm, No. 99. The calculation puts the raw formation energy at -0.9415 eV per atom. As for the polymorph energy (0 for the lowest one): 0.222 eV per atom.



No. 5
A plane-wave DFT calculation with PBE-GGA was carried out for a relaxed IrRu2 crystal. Values from VASP.

Quantum ESPRESSO input file:
```
&SYSTEM
  ibrav = 0, nat = 12, ntyp = 2
/
ATOMIC_SPECIES
Ir 192.22 Ir.upf
Ru 101.07 Ru.upf
CELL_PARAMETERS angstrom
5.962 0.000 0.000
0.000 5.962 0.000
0.000 0.000 5.962
ATOMIC_POSITIONS crystal
Ir 0.000 0.000 0.000
Ir 0.000 0.500 0.500
Ir 0.500 0.000 0.500
Ir 0.500 0.500 0.000
Ru 0.110 0.610 0.890
Ru 0.110 0.890 0.390
Ru 0.390 0.110 0.890
Ru 0.390 0.390 0.390
Ru 0.610 0.610 0.610
Ru 0.610 0.890 0.110
Ru 0.890 0.110 0.610
Ru 0.890 0.390 0.110
```

Output
The space group is Pa-3, No. 205. The formation energy is 0.93 eV per atom. As for the polymorph energy (0 for the lowest one): 0.978 eV per atom.



No. 6
A plane-wave DFT calculation with PBE-GGA was carried out for a relaxed Y2TaAl crystal. Values from VASP.

Quantum ESPRESSO input file:
```
&SYSTEM
  ibrav = 0, nat = 4, ntyp = 3
/
ATOMIC_SPECIES
Y 88.91 Y.upf
Ta 180.95 Ta.upf
Al 26.98 Al.upf
CELL_PARAMETERS angstrom
3.256 0.000 0.000
0.000 3.872 0.000
0.000 0.000 7.684
ATOMIC_POSITIONS crystal
Y 0.000 0.000 0.000
Y 0.500 0.500 0.350
Ta 0.500 0.500 0.749
Al 0.000 0.000 0.591
```

Output
The space group is Pmm2, No. 25. The formation energy is 0.05 eV per atom.



No. 7
A plane-wave DFT calculation with PBE-GGA was carried out for a relaxed Li2TbHfS4 crystal. Values from VASP.

Quantum ESPRESSO input file:
```
&SYSTEM
  ibrav = 0, nat = 8, ntyp = 4
/
ATOMIC_SPECIES
Li 6.94 Li.upf
Tb 158.93 Tb.upf
Hf 178.49 Hf.upf
S 32.06 S.upf
CELL_PARAMETERS angstrom
6.527 0.000 0.000
0.000 3.735 0.000
-2.148 0.000 6.192
ATOMIC_POSITIONS crystal
Li 0.000 0.000 0.000
Li 0.500 0.500 0.000
Tb 0.000 0.500 0.500
Hf 0.500 0.000 0.500
S 0.265 0.500 0.253
S 0.268 0.000 0.754
S 0.732 0.000 0.246
S 0.735 0.500 0.747
```

Output
The space group is P2/m, No. 10. The calculation puts the raw formation energy at -1.6452 eV per atom.



No. 8
A plane-wave DFT calculation with PBE-GGA was carried out for a relaxed Tl2SbMo crystal. Values from VASP.

Quantum ESPRESSO input file:
```
&SYSTEM
  ibrav = 0, nat = 4, ntyp = 3
/
ATOMIC_SPECIES
Tl 204.38 Tl.upf
Sb 121.76 Sb.upf
Mo 95.94 Mo.upf
CELL_PARAMETERS angstrom
3.231 -4.614 0.000
3.231 4.614 0.000
0.000 0.000 3.119
ATOMIC_POSITIONS crystal
Tl 0.000 0.500 0.000
Tl 0.500 0.000 0.000
Sb 0.000 0.000 0.500
Mo 0.500 0.500 0.500
```

Output
The space group is Cmmm, No. 65. The calculation puts the raw formation energy at 0.7752 eV per atom. As for the polymorph energy (0 for the lowest one): 0.466 eV per atom.



No. 9
A plane-wave DFT calculation with PBE-GGA was carried out for a relaxed La2SnH crystal. Values from VASP.

Quantum ESPRESSO input file:
```
&SYSTEM
  ibrav = 0, nat = 8, ntyp = 3
/
ATOMIC_SPECIES
La 138.91 La.upf
Sn 118.71 Sn.upf
H 1.01 H.upf
CELL_PARAMETERS angstrom
-3.703 3.703 3.827
3.703 -3.703 3.827
3.703 3.703 -3.827
ATOMIC_POSITIONS crystal
La 0.042 0.625 0.917
La 0.375 0.292 0.417
La 0.708 0.125 0.083
La 0.875 0.958 0.583
Sn 0.250 0.750 0.500
Sn 0.500 0.500 0.000
H 0.000 0.000 0.000
H 0.750 0.250 0.500
```

Output
The space group is I-42d, No. 122. As for the polymorph energy (0 for the lowest one): 0.086 eV per atom.



No. 10
A plane-wave DFT calculation with PBE-GGA was carried out for a relaxed TbAlCuPd crystal. Values from VASP.

Quantum ESPRESSO input file:
```
&SYSTEM
  ibrav = 0, nat = 4, ntyp = 4
/
ATOMIC_SPECIES
Tb 158.93 Tb.upf
Al 26.98 Al.upf
Cu 63.55 Cu.upf
Pd 106.42 Pd.upf
CELL_PARAMETERS angstrom
2.186 1.262 4.519
-2.186 1.262 4.519
0.000 -2.524 4.519
ATOMIC_POSITIONS crystal
Tb 0.000 0.000 0.000
Al 0.501 0.501 0.501
Cu 0.790 0.790 0.790
Pd 0.212 0.212 0.212
```

Output
The space group is R3m, No. 160. The formation energy is -0.62 eV per atom.



No. 11
A plane-wave DFT calculation with PBE-GGA was carried out for a relaxed CsAg2Te2 crystal. Values from VASP.

Quantum ESPRESSO input file:
```
&SYSTEM
  ibrav = 0, nat = 5, ntyp = 3
/
ATOMIC_SPECIES
Cs 132.91 Cs.upf
Ag 107.87 Ag.upf
Te 127.60 Te.upf
CELL_PARAMETERS angstrom
4.454 0.000 0.000
0.000 4.454 0.000
0.000 0.000 8.470
ATOMIC_POSITIONS crystal
Cs 0.000 0.000 0.000
Ag 0.000 0.500 0.500
Ag 0.500 0.000 0.500
Te 0.500 0.500 0.278
Te 0.500 0.500 0.722
```

Output
The space group is P4/mmm, No. 123. The calculation puts the raw formation energy at -0.3551 eV per atom. As for the polymorph energy (0 for the lowest one): 0.069 eV per atom.



Number 1: spin magnetization 0.000 μB/cell. Number 2: spin magnetization 0.000 μB/cell. Number 3: spin magnetization 0.000 μB/cell. Number 4: spin magnetization 0.000 μB/cell. Number 5: spin magnetization 0.000 μB/cell. Number 6: spin magnetization 0.001 μB/cell. Number 7: spin magnetization 0.000 μB/cell. Number 8: spin magnetization 0.512 μB/cell. Number 9: spin magnetization 0.000 μB/cell. Number 10: spin magnetization 0.000 μB/cell. Number 11: spin magnetization 0.000 μB/cell.